Entry from Alexandria: ZnNiN2F after structural relaxation (GGA+U).

Cell: 3.757 3.757 3.951 Å, 90.00 90.00 90.00°
Fractional coordinates of all 5 atoms:
N 0.500 0.000 0.000
N 0.000 0.500 0.000
Ni 0.000 0.000 0.000
Zn 0.500 0.500 0.500
F 0.000 0.000 0.500

Results
- energy relative to the lowest polymorph listed for this composition (meV/atom) = 0
- density (g/cm3) = 5.09